(1)
# LiNdSn6

An optimized crystal structure of LiNdSn6 (GGA-PBE, the Alexandria database).

Summary:
Energy of formation from the pure elements ... -2.52 eV/f.u.
Crystal system ... tetragonal
DFT total energy ... -33.21 eV/f.u.

CIF file:
```
data_LiNdSn6
_space_group_name_H-M_alt 'P 4/m m m'
_space_group_IT_number 123
_space_group_name_Hall '-P 4 2'
_cell_length_a 4.6889
_cell_length_b 4.6889
_cell_length_c 9.4844
_cell_angle_alpha 90.00
_cell_angle_beta 90.00
_cell_angle_gamma 90.00
loop_
_atom_site_label
_atom_site_type_symbol
_atom_site_fract_x
_atom_site_fract_y
_atom_site_fract_z
_atom_site_occupancy
Li1 Li 0.0000 0.0000 0.0000 1
Nd1 Nd 0.0000 0.0000 0.5000 1
Sn1 Sn 0.0000 0.5000 0.2384 1
Sn2 Sn 0.5000 0.5000 0.0000 1
Sn3 Sn 0.5000 0.5000 0.5000 1
```

(2)
# Tb4Au2I5

An optimized crystal structure of Tb4Au2I5 (GGA-PBE, the Alexandria database).

Summary:
Energy relative to the elements, uncorrected ... -901 meV per atom
Crystal system ... monoclinic
DFT total energy ... -42.73 eV/f.u.

CIF file:
```
data_Tb4Au2I5
_space_group_name_H-M_alt 'C 1 2/m 1'
_space_group_IT_number 12
_cell_length_a 24.1232
_cell_length_b 4.5386
_cell_length_c 7.3570
_cell_angle_alpha 90.00
_cell_angle_beta 97.24
_cell_angle_gamma 90.00
loop_
_space_group_symop_operation_xyz
'x,y,z'
'-x,-y,-z'
'-x,y,-z'
'x,-y,z'
'x+1/2,y+1/2,z'
'-x+1/2,-y+1/2,-z'
'-x+1/2,y+1/2,-z'
'x+1/2,-y+1/2,z'
loop_
_atom_site_label
_atom_site_type_symbol
_atom_site_fract_x
_atom_site_fract_y
_atom_site_fract_z
_atom_site_occupancy
Tb1 Tb 0.1205 0.0000 0.2250 1
Tb2 Tb 0.2341 0.0000 0.8042 1
Au1 Au 0.2316 0.0000 0.3925 1
I1 I 0.0000 0.0000 0.0000 1
I2 I 0.0748 0.5000 0.4354 1
I3 I 0.1446 0.5000 0.9351 1
```

(3)
# Li2Bi2S3

An optimized crystal structure of Li2Bi2S3 (GGA-PBE, the Alexandria database).

Summary:
Energy relative to the elements, uncorrected ... -588 meV per atom
Crystal system ... monoclinic
DFT total energy ... -28.09 eV/f.u.

CIF file:
```
data_Li2Bi2S3
_space_group_name_H-M_alt 'P 1 21/c 1'
_space_group_IT_number 14
_cell_length_a 6.2423
_cell_length_b 8.6302
_cell_length_c 6.5698
_cell_angle_alpha 90.00
_cell_angle_beta 118.35
_cell_angle_gamma 90.00
loop_
_space_group_symop_operation_xyz
'x,y,z'
'-x,-y,-z'
'-x,y+1/2,-z+1/2'
'x,-y+1/2,z+1/2'
loop_
_atom_site_label
_atom_site_type_symbol
_atom_site_fract_x
_atom_site_fract_y
_atom_site_fract_z
_atom_site_occupancy
Li1 Li 0.1083 0.1074 0.4091 1
Bi1 Bi 0.3982 0.6967 0.5707 1
S1 S 0.1447 0.1245 0.7970 1
S2 S 0.5000 0.0000 0.5000 1
```

(4)
# Al2V

An optimized crystal structure of Al2V (GGA-PBE, the Alexandria database).

Summary:
Energy of formation from the pure elements ... -0.22 eV/f.u.
Crystal system ... orthorhombic
DFT total energy ... -16.82 eV/f.u.

CIF file:
```
data_Al2V
_space_group_name_H-M_alt 'F m m m'
_space_group_IT_number 69
_space_group_name_Hall '-F 2 2'
_cell_length_a 4.3223
_cell_length_b 4.3400
_cell_length_c 9.5231
_cell_angle_alpha 90.00
_cell_angle_beta 90.00
_cell_angle_gamma 90.00
loop_
_atom_site_label
_atom_site_type_symbol
_atom_site_fract_x
_atom_site_fract_y
_atom_site_fract_z
_atom_site_occupancy
Al1 Al 0.0000 0.0000 0.1594 1
V1 V 0.0000 0.0000 0.5000 1
```

(5)
# FeCuSe2

An optimized crystal structure of FeCuSe2 (GGA-PBE, the Alexandria database).

Summary:
Energy relative to the elements, uncorrected ... 330 meV per atom
Crystal system ... tetragonal
DFT total energy ... -18.21 eV/f.u.

CIF file:
```
data_FeCuSe2
_space_group_name_H-M_alt 'P 4/m m m'
_space_group_IT_number 123
_space_group_name_Hall '-P 4 2'
_cell_length_a 4.4725
_cell_length_b 4.4725
_cell_length_c 3.1959
_cell_angle_alpha 90.00
_cell_angle_beta 90.00
_cell_angle_gamma 90.00
loop_
_atom_site_label
_atom_site_type_symbol
_atom_site_fract_x
_atom_site_fract_y
_atom_site_fract_z
_atom_site_occupancy
Fe1 Fe 0.0000 0.0000 0.0000 1
Cu1 Cu 0.5000 0.5000 0.0000 1
Se1 Se 0.0000 0.5000 0.5000 1
```

(6)
# La4Nd7Sm

An optimized crystal structure of La4Nd7Sm (GGA-PBE, the Alexandria database).

Summary:
Energy of formation from the pure elements ... 2.59 eV/f.u.
Offset from the most stable computed form ... 199.1 meV per atom
Crystal system ... monoclinic
DFT total energy ... -55.22 eV/f.u.

CIF file:
```
data_La4Nd7Sm
_space_group_name_H-M_alt 'C 1 2/m 1'
_space_group_IT_number 12
_cell_length_a 12.2976
_cell_length_b 6.1720
_cell_length_c 13.1587
_cell_angle_alpha 90.00
_cell_angle_beta 117.40
_cell_angle_gamma 90.00
loop_
_space_group_symop_operation_xyz
'x,y,z'
'-x,-y,-z'
'-x,y,-z'
'x,-y,z'
'x+1/2,y+1/2,z'
'-x+1/2,-y+1/2,-z'
'-x+1/2,y+1/2,-z'
'x+1/2,-y+1/2,z'
loop_
_atom_site_label
_atom_site_type_symbol
_atom_site_fract_x
_atom_site_fract_y
_atom_site_fract_z
_atom_site_occupancy
La1 La 0.0588 0.0000 0.3290 1
La2 La 0.1390 0.5000 0.7774 1
Nd1 Nd 0.0000 0.0000 0.0000 1
Nd2 Nd 0.1337 0.5000 0.5019 1
Nd3 Nd 0.2110 0.0000 0.9224 1
Nd4 Nd 0.2503 0.0000 0.6837 1
Sm1 Sm 0.0000 0.5000 0.0000 1
```

(7)
# La3ZnP

An optimized crystal structure of La3ZnP (GGA-PBE, the Alexandria database).

Summary:
Energy of formation from the pure elements ... -2.20 eV/f.u.
Offset from the most stable computed form ... 0.0 meV per atom
Crystal system ... cubic
DFT total energy ... -23.67 eV/f.u.

CIF file:
```
data_La3ZnP
_space_group_name_H-M_alt 'P m -3 m'
_space_group_IT_number 221
_space_group_name_Hall '-P 4 2 3'
_cell_length_a 5.5824
_cell_length_b 5.5824
_cell_length_c 5.5824
_cell_angle_alpha 90.00
_cell_angle_beta 90.00
_cell_angle_gamma 90.00
loop_
_atom_site_label
_atom_site_type_symbol
_atom_site_fract_x
_atom_site_fract_y
_atom_site_fract_z
_atom_site_occupancy
La1 La 0.0000 0.0000 0.5000 1
Zn1 Zn 0.5000 0.5000 0.5000 1
P1 P 0.0000 0.0000 0.0000 1
```

(8)
# LaTmRe4

An optimized crystal structure of LaTmRe4 (GGA-PBE, the Alexandria database).

Summary:
Energy of formation from the pure elements ... -0.03 eV/f.u.
Crystal system ... cubic
DFT total energy ... -59.22 eV/f.u.

CIF file:
```
data_LaTmRe4
_space_group_name_H-M_alt 'F -4 3 m'
_space_group_IT_number 216
_space_group_name_Hall 'F -4 2 3'
_cell_length_a 7.7393
_cell_length_b 7.7393
_cell_length_c 7.7393
_cell_angle_alpha 90.00
_cell_angle_beta 90.00
_cell_angle_gamma 90.00
loop_
_atom_site_label
_atom_site_type_symbol
_atom_site_fract_x
_atom_site_fract_y
_atom_site_fract_z
_atom_site_occupancy
La1 La 0.0000 0.0000 0.0000 1
Tm1 Tm 0.2500 0.2500 0.7500 1
Re1 Re 0.1248 0.1248 0.3752 1
```

(9)
# Rb2Ba2Si

An optimized crystal structure of Rb2Ba2Si (GGA-PBE, the Alexandria database).

Summary:
Energy relative to the elements, uncorrected ... 165 meV per atom
Crystal system ... tetragonal
DFT total energy ... -10.38 eV/f.u.

CIF file:
```
data_Rb2Ba2Si
_space_group_name_H-M_alt 'P 4/m b m'
_space_group_IT_number 127
_space_group_name_Hall '-P 4 2ab'
_cell_length_a 8.8932
_cell_length_b 8.8932
_cell_length_c 7.8235
_cell_angle_alpha 90.00
_cell_angle_beta 90.00
_cell_angle_gamma 90.00
loop_
_atom_site_label
_atom_site_type_symbol
_atom_site_fract_x
_atom_site_fract_y
_atom_site_fract_z
_atom_site_occupancy
Rb1 Rb 0.1805 0.3195 0.0000 1
Ba1 Ba 0.1768 0.6768 0.5000 1
Si1 Si 0.0000 0.0000 0.5000 1
```

(10)
# LaScIn

An optimized crystal structure of LaScIn (GGA-PBE, the Alexandria database).

Summary:
Energy of formation from the pure elements ... -0.80 eV/f.u.
Offset from the most stable computed form ... 78.2 meV per atom
Crystal system ... hexagonal
DFT total energy ... -14.80 eV/f.u.

CIF file:
```
data_LaScIn
_space_group_name_H-M_alt 'P -6 m 2'
_space_group_IT_number 187
_space_group_name_Hall 'P -6 2'
_cell_length_a 5.1700
_cell_length_b 5.1700
_cell_length_c 3.7877
_cell_angle_alpha 90.00
_cell_angle_beta 90.00
_cell_angle_gamma 120.00
loop_
_atom_site_label
_atom_site_type_symbol
_atom_site_fract_x
_atom_site_fract_y
_atom_site_fract_z
_atom_site_occupancy
La1 La 0.0000 0.0000 0.0000 1
Sc1 Sc 0.6667 0.3333 0.5000 1
In1 In 0.3333 0.6667 0.5000 1
```

(11)
# V2HOsRu

An optimized crystal structure of V2HOsRu (GGA-PBE, the Alexandria database).

Summary:
Offset from the most stable computed form ... 0.0 meV per atom
Crystal system ... tetragonal
DFT total energy ... -42.70 eV/f.u.

CIF file:
```
data_V2HOsRu
_space_group_name_H-M_alt 'P 4/m m m'
_space_group_IT_number 123
_space_group_name_Hall '-P 4 2'
_cell_length_a 3.9338
_cell_length_b 3.9338
_cell_length_c 3.6915
_cell_angle_alpha 90.00
_cell_angle_beta 90.00
_cell_angle_gamma 90.00
loop_
_atom_site_label
_atom_site_type_symbol
_atom_site_fract_x
_atom_site_fract_y
_atom_site_fract_z
_atom_site_occupancy
V1 V 0.0000 0.5000 0.0000 1
H1 H 0.0000 0.0000 0.0000 1
Os1 Os 0.5000 0.5000 0.5000 1
Ru1 Ru 0.0000 0.0000 0.5000 1
```

(12)
# MgAsPb2

An optimized crystal structure of MgAsPb2 (GGA-PBE, the Alexandria database).

Summary:
Energy of formation from the pure elements ... 0.32 eV/f.u.
Offset from the most stable computed form ... 188.4 meV per atom
Crystal system ... tetragonal
DFT total energy ... -13.34 eV/f.u.

CIF file:
```
data_MgAsPb2
_space_group_name_H-M_alt 'P 4/m m m'
_space_group_IT_number 123
_space_group_name_Hall '-P 4 2'
_cell_length_a 3.9644
_cell_length_b 3.9644
_cell_length_c 6.6886
_cell_angle_alpha 90.00
_cell_angle_beta 90.00
_cell_angle_gamma 90.00
loop_
_atom_site_label
_atom_site_type_symbol
_atom_site_fract_x
_atom_site_fract_y
_atom_site_fract_z
_atom_site_occupancy
Mg1 Mg 0.0000 0.0000 0.0000 1
As1 As 0.0000 0.0000 0.5000 1
Pb1 Pb 0.5000 0.5000 0.2594 1
```